(1)
Compound: ZnMoPd6
Source: Alexandria via LeMat-Bulk
Functional: PBE
Structure: relaxed

```
ZnMoPd6
1.0
3.926 0.000 0.000
0.000 3.926 0.000
0.000 0.000 7.852
Zn Mo Pd
1 1 6
Direct
0.000 0.000 0.000 Zn
0.000 0.000 0.500 Mo
0.000 0.500 0.255 Pd
0.000 0.500 0.745 Pd
0.500 0.000 0.255 Pd
0.500 0.000 0.745 Pd
0.500 0.500 0.000 Pd
0.500 0.500 0.500 Pd
```

Computed properties:
- Energy relative to the elements: -224 meV/atom
- Raw total energy: -5.632 eV/atom
- Mass density: 10977 kg/m3

(2)
Compound: Zn2MoPd2
Source: Alexandria via LeMat-Bulk
Functional: PBE
Structure: relaxed

```
Zn2MoPd2
1.0
7.322 0.000 0.000
0.000 7.322 0.000
0.000 0.000 2.790
Zn Mo Pd
4 2 4
Direct
0.125 0.375 0.000 Zn
0.375 0.875 0.000 Zn
0.625 0.125 0.000 Zn
0.875 0.625 0.000 Zn
0.000 0.000 0.000 Mo
0.500 0.500 0.000 Mo
0.174 0.674 0.500 Pd
0.326 0.174 0.500 Pd
0.674 0.826 0.500 Pd
0.826 0.326 0.500 Pd
```

Computed properties:
- Energy relative to the elements: -99 meV/atom
- Raw total energy: -4.852 eV/atom
- Mass density: 9759 kg/m3

(3)
Compound: Zn4MoPd5
Source: Alexandria via LeMat-Bulk
Functional: PBE
Structure: relaxed

```
Zn4MoPd5
1.0
2.856 0.000 0.000
0.000 2.856 0.000
0.000 0.000 17.883
Zn Mo Pd
4 1 5
Direct
0.000 0.000 0.098 Zn
0.000 0.000 0.293 Zn
0.000 0.000 0.707 Zn
0.000 0.000 0.902 Zn
0.000 0.000 0.500 Mo
0.500 0.500 0.000 Pd
0.500 0.500 0.196 Pd
0.500 0.500 0.391 Pd
0.500 0.500 0.609 Pd
0.500 0.500 0.804 Pd
```

Computed properties:
- Energy relative to the elements: -426 meV/atom
- Raw total energy: -4.615 eV/atom
- Mass density: 10129 kg/m3

(4)
Compound: Zn3MoPd12
Source: Alexandria via LeMat-Bulk
Functional: PBE
Structure: relaxed

```
Zn3MoPd12
1.0
3.908 0.000 0.000
0.000 3.908 0.000
0.000 0.000 15.783
Zn Mo Pd
3 1 12
Direct
0.000 0.000 0.000 Zn
0.000 0.000 0.246 Zn
0.000 0.000 0.754 Zn
0.000 0.000 0.500 Mo
0.000 0.500 0.125 Pd
0.000 0.500 0.378 Pd
0.000 0.500 0.622 Pd
0.000 0.500 0.875 Pd
0.500 0.000 0.125 Pd
0.500 0.000 0.378 Pd
0.500 0.000 0.622 Pd
0.500 0.000 0.875 Pd
0.500 0.500 0.000 Pd
0.500 0.500 0.252 Pd
0.500 0.500 0.500 Pd
0.500 0.500 0.748 Pd
```

Computed properties:
- Energy relative to the elements: -258 meV/atom
- Raw total energy: -5.068 eV/atom
- Mass density: 10811 kg/m3

(5)
Compound: ZnMo2Pd9
Source: Alexandria via LeMat-Bulk
Functional: PBE
Structure: relaxed

```
ZnMo2Pd9
1.0
3.927 0.000 0.000
0.000 3.927 0.000
0.000 0.000 11.859
Zn Mo Pd
1 2 9
Direct
0.000 0.000 0.000 Zn
0.000 0.000 0.327 Mo
0.000 0.000 0.673 Mo
0.000 0.500 0.170 Pd
0.000 0.500 0.500 Pd
0.000 0.500 0.830 Pd
0.500 0.000 0.170 Pd
0.500 0.000 0.500 Pd
0.500 0.000 0.830 Pd
0.500 0.500 0.000 Pd
0.500 0.500 0.335 Pd
0.500 0.500 0.665 Pd
```

Computed properties:
- Energy relative to the elements: -128 meV/atom
- Raw total energy: -5.934 eV/atom
- Mass density: 11034 kg/m3

(6)
Compound: Zr2MoPd
Source: Alexandria via LeMat-Bulk
Functional: PBE
Structure: relaxed

```
Zr2MoPd
1.0
3.364 0.000 0.000
0.000 3.364 0.000
0.000 0.000 6.653
Zr Mo Pd
2 1 1
Direct
0.000 0.000 0.240 Zr
0.000 0.000 0.760 Zr
0.500 0.500 0.000 Mo
0.500 0.500 0.500 Pd
```

Computed properties:
- Energy relative to the elements: -407 meV/atom
- Raw total energy: -8.687 eV/atom
- Mass density: 8488 kg/m3

(7)
Compound: Zr2MoPd
Source: Alexandria via LeMat-Bulk
Functional: PBE
Structure: relaxed

```
Zr2MoPd
1.0
-1.438 2.587 5.295
1.438 -2.587 5.295
1.438 2.587 -5.295
Zr Mo Pd
2 1 1
Direct
0.246 0.246 0.000 Zr
0.754 0.754 0.000 Zr
0.500 0.500 0.000 Mo
0.000 0.000 0.000 Pd
```

Computed properties:
- Energy relative to the elements: 412 meV/atom
- Raw total energy: -7.868 eV/atom
- Mass density: 8110 kg/m3

(8)
Compound: ZrMoPd
Source: Alexandria via LeMat-Bulk
Functional: PBE
Structure: relaxed

```
ZrMoPd
1.0
6.615 0.000 0.000
-3.307 5.729 0.000
0.000 0.000 4.465
Zr Mo Pd
3 3 3
Direct
0.000 0.000 0.000 Zr
0.333 0.667 0.500 Zr
0.667 0.333 0.500 Zr
0.000 0.226 0.500 Mo
0.226 0.000 0.500 Mo
0.774 0.774 0.500 Mo
0.000 0.558 0.000 Pd
0.442 0.442 0.000 Pd
0.558 0.000 0.000 Pd
```

Computed properties:
- Energy relative to the elements: 321 meV/atom
- Raw total energy: -7.870 eV/atom
- Mass density: 8644 kg/m3

(9)
Compound: Zr2MoPd4
Source: Alexandria via LeMat-Bulk
Functional: PBE
Structure: relaxed

```
Zr2MoPd4
1.0
-2.399 2.399 6.688
2.399 -2.399 6.688
2.399 2.399 -6.688
Zr Mo Pd
2 1 4
Direct
0.118 0.118 0.000 Zr
0.882 0.882 0.000 Zr
0.500 0.500 0.000 Mo
0.000 0.500 0.500 Pd
0.307 0.307 0.000 Pd
0.500 0.000 0.500 Pd
0.693 0.693 0.000 Pd
```

Computed properties:
- Energy relative to the elements: 491 meV/atom
- Raw total energy: -6.466 eV/atom
- Mass density: 7591 kg/m3

(10)
Compound: Zr2MoPd2
Source: Alexandria via LeMat-Bulk
Functional: PBE
Structure: relaxed

```
Zr2MoPd2
1.0
7.670 0.000 0.000
0.000 7.670 0.000
0.000 0.000 3.167
Zr Mo Pd
4 2 4
Direct
0.176 0.324 0.000 Zr
0.324 0.824 0.000 Zr
0.676 0.176 0.000 Zr
0.824 0.676 0.000 Zr
0.000 0.000 0.500 Mo
0.500 0.500 0.500 Mo
0.126 0.626 0.500 Pd
0.374 0.126 0.500 Pd
0.626 0.874 0.500 Pd
0.874 0.374 0.500 Pd
```

Computed properties:
- Energy relative to the elements: -203 meV/atom
- Raw total energy: -7.866 eV/atom
- Mass density: 8755 kg/m3

(11)
Compound: Zr4MoPd3
Source: Alexandria via LeMat-Bulk
Functional: PBE
Structure: relaxed

```
Zr4MoPd3
1.0
3.354 0.000 0.000
0.000 3.354 0.000
0.000 0.000 13.409
Zr Mo Pd
4 1 3
Direct
0.000 0.000 0.119 Zr
0.000 0.000 0.376 Zr
0.000 0.000 0.624 Zr
0.000 0.000 0.881 Zr
0.500 0.500 0.000 Mo
0.500 0.500 0.249 Pd
0.500 0.500 0.500 Pd
0.500 0.500 0.751 Pd
```

Computed properties:
- Energy relative to the elements: -480 meV/atom
- Raw total energy: -8.055 eV/atom
- Mass density: 8587 kg/m3

(12)
Compound: Zr2MoPd
Source: Alexandria via LeMat-Bulk
Functional: PBE
Structure: relaxed

```
Zr2MoPd
1.0
-2.088 2.088 9.359
2.088 -2.088 9.359
2.088 2.088 -9.359
Zr Mo Pd
4 2 2
Direct
0.119 0.625 0.994 Zr
0.375 0.369 0.494 Zr
0.631 0.125 0.006 Zr
0.875 0.881 0.506 Zr
0.000 0.000 0.000 Mo
0.750 0.250 0.500 Mo
0.250 0.750 0.500 Pd
0.500 0.500 0.000 Pd
```

Computed properties:
- Energy relative to the elements: 477 meV/atom
- Raw total energy: -7.803 eV/atom
- Mass density: 7833 kg/m3

Q: Number 5 is which compound?
A: ZnMo2Pd9